# 1
A crystal of TcAg2Se relaxed with PBEsol. Source: Alexandria via LeMat-Bulk, functional SCAN.

Results
Its symmetry is R-3m. Its uncorrected formation energy is 0.5176 eV per atom. Its density of states at the Fermi level is 0.71 states/eV/atom. The calculation puts the density at 9.9 Mg/m³.

Lattice parameters (Å, degrees): 9.6870 9.6870 9.6870 16.76 16.76 16.76
Positions (direct):
Tc 0.0000 0.0000 0.0000
Ag 0.2534 0.2534 0.2534
Ag 0.7466 0.7466 0.7466
Se 0.5000 0.5000 0.5000


# 2
A crystal of TcAgSe2 relaxed with PBEsol. Source: Alexandria via LeMat-Bulk, functional SCAN.

Results
Its symmetry is P4/mmm. Its uncorrected formation energy is 0.1211 eV per atom. Its density of states at the Fermi level is 0.63 states/eV/atom. The calculation puts the density at 8.9 Mg/m³. The value obtained for the relative energy among the computed polymorphs is 0.0 meV/atom.

Lattice parameters (Å, degrees): 3.0379 3.0379 7.3774 90.00 90.00 90.00
Positions (direct):
Tc 0.0000 0.0000 0.0000
Ag 0.0000 0.0000 0.5000
Se 0.5000 0.5000 0.2069
Se 0.5000 0.5000 0.7931


# 3
A crystal of TcAg2Se relaxed with PBEsol. Source: Alexandria via LeMat-Bulk, functional SCAN.

Results
Its symmetry is Imm2. Its uncorrected formation energy is 0.4285 eV per atom. Its density of states at the Fermi level is 0.73 states/eV/atom. The calculation puts the density at 9.1 Mg/m³.

Lattice parameters (Å, degrees): 6.0303 6.0303 6.0303 151.31 136.76 52.72
Positions (direct):
Tc 0.0000 0.0000 0.0000
Ag 0.2279 0.7279 0.5000
Ag 0.5591 0.5591 0.0000
Se 0.8299 0.3299 0.5000


# 4
A crystal of AgTeSe2 relaxed with PBEsol. Source: Alexandria via LeMat-Bulk, functional SCAN.

Results
Its symmetry is P4/mmm. Its uncorrected formation energy is 0.2146 eV per atom. Its density of states at the Fermi level is 0.48 states/eV/atom. The calculation puts the density at 6.9 Mg/m³.

Lattice parameters (Å, degrees): 2.8912 2.8912 11.3144 90.00 90.00 90.00
Positions (direct):
Ag 0.0000 0.0000 0.0000
Te 0.0000 0.0000 0.5000
Se 0.5000 0.5000 0.1876
Se 0.5000 0.5000 0.8124


# 5
A crystal of AgTeSe2 relaxed with PBEsol. Source: Alexandria via LeMat-Bulk, functional SCAN.

Results
Its symmetry is R-3m. Its uncorrected formation energy is 0.0364 eV per atom. Its density of states at the Fermi level is 0.53 states/eV/atom. The calculation puts the density at 7.2 Mg/m³.

Lattice parameters (Å, degrees): 6.6433 6.6433 6.6433 36.07 36.07 36.07
Positions (direct):
Ag 0.0000 0.0000 0.0000
Te 0.5000 0.5000 0.5000
Se 0.2574 0.2574 0.2574
Se 0.7426 0.7426 0.7426


# 6
A crystal of AgTe2Se relaxed with PBEsol. Source: Alexandria via LeMat-Bulk, functional SCAN.

Results
Its symmetry is I4/mmm. Its uncorrected formation energy is -0.0517 eV per atom. Its density of states at the Fermi level is 0.36 states/eV/atom. The calculation puts the density at 7.4 Mg/m³.

Lattice parameters (Å, degrees): 5.0558 5.0558 5.0558 110.82 110.82 106.81
Positions (direct):
Ag 0.0000 0.0000 0.0000
Te 0.0000 0.5000 0.5000
Te 0.5000 0.0000 0.5000
Se 0.5000 0.5000 0.0000